Entry 1:
## ZrZnNiRu (PBE-GGA)

Data for an optimized crystal structure of ZrZnNiRu.

Cell and atoms, written as extended XYZ:
```
4
Lattice="3.434 0.000 0.000 0.000 4.228 0.000 0.000 0.000 4.126" Properties=species:S:1:pos:R:3 pbc="T T T"
Zr 1.717 0.000 2.063
Zn 1.717 2.114 0.000
Ni 0.000 2.114 2.063
Ru 0.000 0.000 0.000
```

offset from the most stable computed form	0.00	eV/f.u.
total DFT energy (no corrections)	-6.61	eV/atom
DFT formation energy	-0.390	eV per atom

Entry 2:
## Bi2SbBr3 (PBE-GGA)

Data for an optimized crystal structure of Bi2SbBr3.

Cell and atoms, written as extended XYZ:
```
12
Lattice="-1.121 1.429 4.246 -9.532 -1.537 0.512 -0.215 -9.783 5.747" Properties=species:S:1:pos:R:3 pbc="T T T"
Bi -5.261 -7.631 8.713
Bi -5.607 -2.260 1.792
Bi -3.008 -4.766 5.832
Bi -7.861 -5.125 4.672
Sb -5.435 -6.679 5.835
Sb -5.433 -3.213 4.669
Br -1.674 -7.305 4.528
Br -9.195 -2.586 5.977
Br -7.497 -9.355 8.703
Br -3.372 -0.536 1.802
Br -9.122 -6.122 7.186
Br -1.746 -3.770 3.319
```

offset from the most stable computed form	0.17	eV/f.u.
total DFT energy (no corrections)	-3.23	eV/atom

Entry 3:
## CaFeMo2 (PBE-GGA)

Data for an optimized crystal structure of CaFeMo2.

Cell and atoms, written as extended XYZ:
```
4
Lattice="4.570 -0.024 0.001 0.023 4.570 0.001 -2.296 -2.273 3.238" Properties=species:S:1:pos:R:3 pbc="T T T"
Mo 4.570 -0.023 0.001
Mo 0.012 2.285 1.620
Ca 0.000 0.000 3.239
Fe 2.285 -0.011 1.620
```

offset from the most stable computed form	0.67	eV/f.u.
total DFT energy (no corrections)	-7.35	eV/atom
DFT formation energy	0.686	eV per atom

Q: Among the records above, which one has the lowest total DFT energy (no corrections)?
A: CaFeMo2